# 1
Here is an optimized crystal structure of KHg2H from Alexandria. Energies are from PBE.

The structure in POSCAR format:
```
KHg2H
1.0
-0.487 2.808 2.421
-4.944 -0.620 -2.964
-1.180 -6.732 7.313
Hg H K
4 2 2
Direct
0.104 0.200 0.709
0.638 0.270 0.426
0.362 0.730 0.574
0.896 0.800 0.291
0.398 0.796 0.094
0.602 0.204 0.906
0.151 0.287 0.109
0.849 0.713 0.891
```

Properties
Its relative energy among the computed polymorphs is 0.0000 eV/atom. As for the space-group type: P-1.

=====

# 2
Here is an optimized crystal structure of KHg3H from Alexandria. Energies are from PBE.

The structure in POSCAR format:
```
KHg3H
1.0
4.991 -0.096 0.062
-2.360 4.960 0.046
-0.178 -2.940 5.106
Hg H K
3 1 1
Direct
0.872 0.178 0.720
0.320 0.076 0.057
0.601 0.636 0.913
0.731 0.893 0.331
0.096 0.623 0.390
```

Properties
Its relative energy among the computed polymorphs is 0.0989 eV/atom. As for the space-group type: P1.

=====

# 3
Here is an optimized crystal structure of KHg4H2 from Alexandria. Energies are from PBE.

The structure in POSCAR format:
```
KHg4H2
1.0
0.339 5.466 1.111
-2.623 -1.756 -4.611
-5.806 -0.337 3.431
K Hg H
1 4 2
Direct
0.000 0.000 0.500
0.667 0.333 0.282
0.333 0.667 0.281
0.333 0.667 0.718
0.667 0.333 0.719
0.333 0.667 0.000
0.667 0.333 0.000
```

Properties
The energy comes out at -1.1765 eV per atom. As for the space-group type: P6/mmm.

=====

# 4
Here is an optimized crystal structure of KHg2H from Alexandria. Energies are from PBE.

The structure in POSCAR format:
```
KHg2H
1.0
-4.285 -0.619 3.325
-4.847 -1.464 -2.038
-1.985 -4.986 0.994
Hg K H
2 1 1
Direct
0.250 0.250 0.250
0.750 0.750 0.750
0.500 0.500 0.500
0.000 0.000 0.000
```

Properties
Its relative energy among the computed polymorphs is 0.2159 eV/atom. As for the space-group type: Fm-3m.

=====

# 5
Here is an optimized crystal structure of K4Hg2H from Alexandria. Energies are from PBE.

The structure in POSCAR format:
```
K4Hg2H
1.0
-2.565 0.637 -4.664
-3.054 -4.267 1.097
-3.351 7.288 5.919
K H Hg
4 1 2
Direct
0.500 0.000 0.000
0.826 0.826 0.652
0.174 0.174 0.348
0.000 0.500 0.000
0.000 0.000 0.000
0.633 0.633 0.267
0.367 0.367 0.733
```

Properties
The energy comes out at -1.3162 eV per atom. As for the space-group type: I4/mmm.

=====

# 6
Here is an optimized crystal structure of K2Hg2H from Alexandria. Energies are from PBE.

The structure in POSCAR format:
```
K2Hg2H
1.0
-7.207 1.244 -1.799
0.707 -4.537 -5.970
-1.678 -4.768 3.425
Hg H K
4 2 4
Direct
0.356 0.144 0.500
0.644 0.856 0.500
0.856 0.356 0.500
0.144 0.644 0.500
0.500 0.500 0.000
0.000 0.000 0.000
0.694 0.194 0.000
0.194 0.306 0.000
0.306 0.806 0.000
0.806 0.694 0.000
```

Properties
Its relative energy among the computed polymorphs is 0.0000 eV/atom. As for the space-group type: P4/mbm.

=====

# 7
Here is an optimized crystal structure of KHg3H from Alexandria. Energies are from PBE.

The structure in POSCAR format:
```
KHg3H
1.0
-3.209 0.014 4.771
4.682 -2.964 2.957
2.930 6.264 1.522
Hg K H
6 2 2
Direct
0.049 0.513 0.402
0.027 0.022 0.136
0.004 0.522 0.910
0.502 0.842 0.930
0.481 0.392 0.693
0.450 0.831 0.385
0.973 0.019 0.636
0.533 0.337 0.185
0.742 0.685 0.392
0.500 0.099 0.518
```

Properties
Its relative energy among the computed polymorphs is 0.0985 eV/atom. As for the space-group type: P1.

=====

# 8
Here is an optimized crystal structure of KHg2H6 from Alexandria. Energies are from PBE.

The structure in POSCAR format:
```
KHg2H6
1.0
5.516 0.000 -0.329
2.758 4.784 -0.164
0.446 0.000 5.768
H Hg K
6 2 1
Direct
0.501 0.000 0.933
0.502 0.501 0.933
0.498 0.499 0.067
0.499 0.000 0.067
0.997 0.501 0.067
0.003 0.499 0.933
0.333 0.333 0.500
0.667 0.667 0.500
0.000 0.000 0.000
```

Properties
The energy comes out at -2.4719 eV per atom. As for the space-group type: C2/m.

=====

# 9
Here is an optimized crystal structure of K2HgH from Alexandria. Energies are from PBE.

The structure in POSCAR format:
```
K2HgH
1.0
0.000 4.019 4.019
4.019 0.000 4.019
4.019 4.019 0.000
H K Hg
1 2 1
Direct
0.000 0.000 0.000
0.250 0.250 0.250
0.750 0.750 0.750
0.500 0.500 0.500
```

Properties
Its relative energy among the computed polymorphs is 0.1898 eV/atom. As for the space-group type: Fm-3m.

=====

# 10
Here is an optimized crystal structure of KHg3H from Alexandria. Energies are from PBE.

The structure in POSCAR format:
```
KHg3H
1.0
-0.970 3.479 -4.122
-1.789 -2.673 -5.143
-9.063 1.182 -0.262
Hg H K
6 2 2
Direct
0.683 0.904 0.650
0.721 0.420 0.120
0.500 0.500 0.500
0.500 0.000 0.000
0.317 0.096 0.350
0.279 0.580 0.880
0.837 0.435 0.473
0.163 0.565 0.527
0.999 0.232 0.751
0.001 0.768 0.249
```

Properties
Its relative energy among the computed polymorphs is 0.0922 eV/atom. As for the space-group type: P-1.

=====

# 11
Here is an optimized crystal structure of K3Hg2H from Alexandria. Energies are from PBE.

The structure in POSCAR format:
```
K3Hg2H
1.0
7.924 0.000 0.000
-3.962 6.862 0.000
0.000 0.000 7.678
K Hg H
6 4 2
Direct
0.847 0.695 0.750
0.153 0.305 0.250
0.305 0.153 0.750
0.695 0.847 0.250
0.153 0.847 0.250
0.847 0.153 0.750
0.667 0.333 0.436
0.333 0.667 0.936
0.333 0.667 0.564
0.667 0.333 0.064
0.000 0.000 0.500
0.000 0.000 0.000
```

Properties
The energy comes out at -1.3604 eV per atom. As for the space-group type: P6_3/mmc.

=====

# 12
Here is an optimized crystal structure of KHg3H from Alexandria. Energies are from PBE.

The structure in POSCAR format:
```
KHg3H
1.0
5.079 0.000 0.000
0.000 5.079 0.000
0.000 0.000 5.079
Hg K H
3 1 1
Direct
0.000 0.500 0.000
0.500 0.000 0.000
0.000 0.000 0.500
0.500 0.500 0.500
0.000 0.000 0.000
```

Properties
Its relative energy among the computed polymorphs is 0.2797 eV/atom. As for the space-group type: Pm-3m.